Entry from Alexandria: a relaxed structure of LiCdP2O6 (GGA-PBE).

Cell: 11.376 9.865 4.823 Å, 90.00 106.23 90.00°
Space group C2/c (No. 15)
One atom of each set of equivalent atoms:
Li  0.000  0.243  0.250 x4
Cd  0.000  0.413  0.750 x4
P  0.193  0.094  0.743 x8
O  0.099  0.201  0.619 x8
O  0.161  0.037  0.028 x8
O  0.174  0.369  0.189 x8

Summary:
Raw formation energy in eV per formula unit: -18.97
Total energy in eV per cell: -249.47
Mass density in Mg/m³: 3.5

***

Entry from Alexandria: a relaxed structure of ZrP2Ru (GGA-PBE).

Cell: 2.941 3.145 6.443 Å, 90.00 90.00 90.00°
Space group Pmmm (No. 47)
One atom of each set of equivalent atoms:
Zr  0.000  0.000  0.000 x1
P  0.500  0.500  0.278 x2
Ru  0.000  0.000  0.500 x1

Summary:
Energy above the lowest structure with this stoichiometry in meV per atom: 378
Total energy in eV per cell: -30.42
Mass density in Mg/m³: 7.1

***

Entry from Alexandria: a relaxed structure of CaNiAg2 (GGA-PBE).

Cell: 3.314 3.596 6.488 Å, 90.00 90.00 90.00°
Space group Pmm2 (No. 25)
One atom of each set of equivalent atoms:
Ca  0.000  0.000  0.000 x1
Ni  0.500  0.500  0.267 x1
Ag  0.000  0.000  0.459 x1
Ag  0.500  0.500  0.692 x1

Summary:
Total energy in eV per cell: -13.33
Mass density in Mg/m³: 6.8

***

Entry from Alexandria: a relaxed structure of Li4ReIr (GGA-PBE).

Cell: 6.581 6.581 6.581 Å, 90.00 90.00 90.00°
Space group F-43m (No. 216)
One atom of each set of equivalent atoms:
Li  0.124  0.124  0.376 x16
Re  0.000  0.000  0.000 x4
Ir  0.250  0.250  0.750 x4

Summary:
Total energy in eV per cell: -108.02
Mass density in Mg/m³: 9.5